An optimized crystal structure of Nd2MgGa4Ni3, computed with PBE-GGA.

Lattice parameters (Å, degrees): 4.1426 4.1426 10.6675 90.00 90.00 90.00
Last column: nearest neighbours and their distance in Å.
Fractional coordinates of all 10 atoms:
Mg  0.5000  0.5000  0.5000  4 Ga 2.63, 4 Ni 2.93
Ga  0.0000  0.5000  0.3475  3 Ni 2.38-2.63, 2 Mg 2.63
Ga  0.0000  0.0000  0.0000  4 Ni 2.46
Ga  0.5000  0.0000  0.6525  3 Ni 2.38-2.63, 2 Mg 2.63
Ni  0.0000  0.0000  0.5000  4 Ga 2.63, 4 Mg 2.93
Nd  0.5000  0.0000  0.2305  4 Ni 3.14, 8 Ga 3.18-3.22
Nd  0.0000  0.5000  0.7695  4 Ni 3.14, 8 Ga 3.18-3.22
Ga  0.5000  0.5000  0.0000  4 Ni 2.46
Ni  0.5000  0.0000  0.8760  5 Ga 2.38-2.46
Ni  0.0000  0.5000  0.1240  5 Ga 2.38-2.46

Space-group type: P-4m2 (115)
Uncorrected energy (eV/atom): -4.568
Magnetic moment (μB/f.u.): 0.0